Record 1
VASP calculation (PBE) on CePuCo after structural relaxation.

Geometry as extended XYZ:
```
3
Lattice="3.796 0.000 0.000 -1.898 3.288 0.000 0.000 0.000 5.787" Properties=species:S:1:pos:R:3 pbc="T T T"
Co 0.000 2.192 3.869
Ce 0.000 0.000 5.359
Pu 1.898 1.096 2.345
```

Output
Space-group type: P3m1
Calculated volume (A^3/atom): 24.1
DFT formation energy (eV/atom): 0.066
Polymorph energy (0 for the lowest one) (eV per atom): 0.142

Record 2
VASP calculation (PBE) on Ce12PuCo6 after structural relaxation.

Geometry as extended XYZ:
```
19
Lattice="7.591 0.247 -0.947 -1.102 7.515 -0.947 0.207 0.247 7.647" Properties=species:S:1:pos:R:3 pbc="T T T"
Ce 5.625 3.509 3.699
Ce 4.027 6.158 1.871
Ce 5.411 0.751 6.073
Ce 7.166 1.166 1.319
Ce 2.655 5.054 5.004
Ce 5.970 5.458 -1.132
Ce 1.285 7.259 -0.319
Ce -0.470 6.843 4.435
Ce 0.726 2.552 6.886
Ce 2.669 1.852 3.882
Ce 4.041 2.955 0.749
Ce 1.071 4.501 2.054
Co 6.213 4.694 1.560
Co 0.483 3.316 4.193
Co 4.181 3.270 5.907
Co 2.516 4.739 -0.154
Co 4.624 1.063 2.510
Co 2.072 6.946 3.243
Pu 0.000 0.000 0.000
```

Output
Space-group type: R-3
Calculated volume (A^3/atom): 23.3
DFT formation energy (eV/atom): -0.082

Record 3
VASP calculation (PBE) on Ce6PuCo2 after structural relaxation.

Geometry as extended XYZ:
```
18
Lattice="-3.518 3.127 4.370 -5.784 -2.231 -3.060 -0.171 -7.672 5.917" Properties=species:S:1:pos:R:3 pbc="T T T"
Co -2.393 -4.905 6.397
Co -3.776 -6.642 2.466
Co -5.697 -0.134 4.761
Co -7.079 -1.871 0.830
Ce -6.106 -7.768 4.461
Ce -2.767 -7.500 5.212
Ce -6.203 -5.129 2.169
Ce -4.486 -1.960 1.299
Ce -3.269 -1.648 5.059
Ce -3.366 0.992 2.766
Ce -7.016 -2.074 4.092
Ce -0.843 -1.657 2.001
Ce -2.456 -4.702 3.135
Ce -6.705 0.723 2.015
Ce -4.986 -4.816 5.929
Ce -8.629 -5.119 5.226
Pu -4.651 0.448 0.655
Pu -0.085 -3.836 2.959
```

Output
Space-group type: P2_1/c
Calculated volume (A^3/atom): 23.9
DFT formation energy (eV/atom): -0.082

- Which of these has the lowest calculated volume?
  Ce12PuCo6

- Which of these has the highest DFT formation energy?
  CePuCo